(1)
VASP calculation (GGA-PBE) on a relaxed TmHfSe3 crystal.

Cell: 5.2323 5.2323 17.1057 Å, 90.00 90.00 90.00°
Closest atoms and distances in Å follow each position.
Space group Cmcm (No. 63)
One atom of each set of equivalent atoms:
Tm 0.0000 0.0000 0.0000 (multiplicity 4)  8 Se 3.04-3.05
Hf 0.0000 0.4986 0.2500 (multiplicity 4)  6 Se 2.62-2.72
Se 0.0000 0.0014 0.7500 (multiplicity 4)  4 Hf 2.62
Se 0.0000 0.4993 0.0908 (multiplicity 8)  1 Hf 2.72, 4 Tm 3.04-3.05

## Properties
The calculation puts the total magnetization at 0.000 μB/atom.

(2)
VASP calculation (GGA-PBE) on a relaxed TmHfSe2 crystal.

Cell: 3.6997 3.6997 26.6908 Å, 90.00 90.00 120.00°
Closest atoms and distances in Å follow each position.
Space group R-3m (No. 166, hexagonal axes)
One atom of each set of equivalent atoms:
Tm 0.0000 0.0000 0.0000 (multiplicity 3)  2 Se 2.81
Hf 0.0000 0.0000 0.5000 (multiplicity 3)  6 Se 2.69
Se 0.0000 0.0000 0.1053 (multiplicity 6)  3 Hf 2.69, 1 Tm 2.81

## Properties
The calculation puts the total magnetization at 0.000 μB/atom. Its excess energy over the best structure of this formula in the dataset is 0.288 eV per atom.

(3)
VASP calculation (GGA-PBE) on a relaxed TmHfSe2 crystal.

Cell: 3.6429 3.6429 22.1816 Å, 90.00 90.00 120.00°
Closest atoms and distances in Å follow each position.
Space group R3m (No. 160, hexagonal axes)
One atom of each set of equivalent atoms:
Tm 0.0000 0.0000 0.0000 (multiplicity 3)  6 Se 2.85-2.88
Hf 0.0000 0.0000 0.1660 (multiplicity 3)  6 Se 2.73-2.74
Se 0.0000 0.0000 0.4201 (multiplicity 3)  3 Hf 2.74, 3 Tm 2.85
Se 0.0000 0.0000 0.5779 (multiplicity 3)  3 Hf 2.73, 3 Tm 2.88

## Properties
The calculation puts the total magnetization at 0.000 μB/atom. Its excess energy over the best structure of this formula in the dataset is 0.000 eV per atom.

(4)
VASP calculation (GGA-PBE) on a relaxed HfU2Se4 crystal.

Cell: 3.7185 13.5357 13.7809 Å, 90.00 90.00 90.00°
Closest atoms and distances in Å follow each position.
Space group Cmcm (No. 63)
One atom of each set of equivalent atoms:
Hf 0.0000 0.1316 0.2500 (multiplicity 4)  6 Se 2.72-2.75
U 0.0000 0.3613 0.0741 (multiplicity 8)  6 Se 2.83-2.93
Se 0.0000 0.0000 0.0000 (multiplicity 4)  4 U 2.83
Se 0.0000 0.2922 0.6272 (multiplicity 8)  2 Hf 2.72, 3 U 2.88-2.93
Se 0.0000 0.4817 0.2500 (multiplicity 4)  2 Hf 2.75, 2 U 2.92

## Properties
The calculation puts the total magnetization at 0.864 μB/atom.

(5)
VASP calculation (GGA-PBE) on a relaxed Hf2USe crystal.

Cell: 3.1923 3.1923 30.1519 Å, 90.00 90.00 120.00°
Closest atoms and distances in Å follow each position.
Space group R-3m (No. 166, hexagonal axes)
One atom of each set of equivalent atoms:
Hf 0.0000 0.0000 0.0996 (multiplicity 6)  3 Se 2.74, 1 U 3.00
U 0.0000 0.0000 0.0000 (multiplicity 3)  2 Hf 3.00, 6 U 3.19
Se 0.0000 0.0000 0.5000 (multiplicity 3)  6 Hf 2.74

## Properties
The calculation puts the total magnetization at 0.635 μB/atom.

(6)
VASP calculation (GGA-PBE) on a relaxed HfUSe3 crystal.

Cell: 3.9335 20.2824 6.8796 Å, 90.00 90.00 90.00°
Closest atoms and distances in Å follow each position.
Space group Cmc2_1 (No. 36)
One atom of each set of equivalent atoms:
Hf 0.0000 0.1675 0.0000 (multiplicity 4)  6 Se 2.66-2.84
U 0.0000 0.3367 0.0027 (multiplicity 4)  6 Se 2.81-2.90
Se 0.0000 0.0881 0.6921 (multiplicity 4)  1 Hf 2.66, 2 U 2.81
Se 0.0000 0.2511 0.3320 (multiplicity 4)  3 Hf 2.82-2.84, 3 U 2.85-2.90
Se 0.0000 0.4056 0.6470 (multiplicity 4)  2 Hf 2.66, 1 U 2.82

## Properties
The calculation puts the total magnetization at 0.480 μB/atom.

(7)
VASP calculation (GGA-PBE) on a relaxed Hf3USe8 crystal.

Cell: 13.3644 7.7203 8.3525 Å, 90.00 123.00 90.00°
Closest atoms and distances in Å follow each position.
Space group C2/m (No. 12)
One atom of each set of equivalent atoms:
Hf 0.0000 0.0000 0.0000 (multiplicity 2)  6 Se 2.69-2.71
Hf 0.2500 0.2500 0.0000 (multiplicity 4)  6 Se 2.69-2.71
U 0.0000 0.5000 0.0000 (multiplicity 2)  6 Se 2.80
Se 0.0104 0.2398 0.7756 (multiplicity 8)  2 Hf 2.69, 1 U 2.80
Se 0.2417 0.0000 0.2204 (multiplicity 4)  3 Hf 2.71
Se 0.2501 0.0000 0.7757 (multiplicity 4)  2 Hf 2.69, 1 U 2.80

## Properties
The calculation puts the total magnetization at 0.168 μB/atom.

(8)
VASP calculation (GGA-PBE) on a relaxed HfVSe3 crystal.

Cell: 5.1404 5.1404 5.1404 Å, 90.00 90.00 90.00°
Closest atoms and distances in Å follow each position.
Space group Pm-3m (No. 221)
One atom of each set of equivalent atoms:
Hf 0.0000 0.0000 0.0000 (multiplicity 1)  6 Se 2.57
V 0.5000 0.5000 0.5000 (multiplicity 1)  12 Se 3.63
Se 0.0000 0.0000 0.5000 (multiplicity 3)  2 Hf 2.57

## Properties
The calculation puts the total magnetization at 0.607 μB/atom. Its excess energy over the best structure of this formula in the dataset is 0.743 eV per atom.

Raw formation energy (eV/f.u.)
-6.75, -4.01, -5.16, -6.69, 0.34, -5.52, -15.34, -0.51